ZrCS2: optimized geometry, PBEsol.

Cell: 6.969 6.969 6.969 Å, 27.64 27.64 27.64°
Sites, in units of the cell vectors:
1 Zr 0.000 0.000 0.000
2 C 0.500 0.500 0.500
3 S 0.420 0.420 0.420
4 S 0.580 0.580 0.580

Values from the calculation:
formation energy from raw total energies = 0.01 eV/atom
crystal system = trigonal

***

Na2SbSO4F3: optimized geometry, PBEsol.

Cell: 8.302 8.302 11.069 Å, 90.00 90.00 50.93°
Sites, in units of the cell vectors:
1 Na 0.034 0.466 0.250
2 Na 0.117 0.117 0.000
3 Na 0.383 0.383 0.500
4 Na 0.466 0.034 0.750
5 Na 0.534 0.966 0.250
6 Na 0.617 0.617 0.500
7 Na 0.883 0.883 0.000
8 Na 0.966 0.534 0.750
9 Sb 0.107 0.893 0.667
10 Sb 0.393 0.607 0.167
11 Sb 0.607 0.393 0.833
12 Sb 0.893 0.107 0.333
13 S 0.181 0.181 0.500
14 S 0.319 0.319 0.000
15 S 0.681 0.681 0.000
16 S 0.819 0.819 0.500
17 O 0.042 0.714 0.526
18 O 0.199 0.277 0.606
19 O 0.214 0.542 0.026
20 O 0.223 0.301 0.894
21 O 0.277 0.199 0.394
22 O 0.286 0.958 0.526
23 O 0.301 0.223 0.106
24 O 0.458 0.786 0.026
25 O 0.542 0.214 0.974
26 O 0.699 0.777 0.894
27 O 0.714 0.042 0.474
28 O 0.723 0.801 0.606
29 O 0.777 0.699 0.106
30 O 0.786 0.458 0.974
31 O 0.801 0.723 0.394
32 O 0.958 0.286 0.474
33 F 0.096 0.717 0.785
34 F 0.121 0.879 0.122
35 F 0.217 0.596 0.285
36 F 0.283 0.904 0.785
37 F 0.379 0.621 0.622
38 F 0.404 0.783 0.285
39 F 0.596 0.217 0.715
40 F 0.621 0.379 0.378
41 F 0.717 0.096 0.215
42 F 0.783 0.404 0.715
43 F 0.879 0.121 0.878
44 F 0.904 0.283 0.215

Values from the calculation:
formation energy from raw total energies = -2.06 eV/atom
crystal system = orthorhombic

***

LiMg2ZnPt: optimized geometry, PBEsol.

Cell: 4.846 4.846 4.645 Å, 90.00 90.00 90.00°
Sites, in units of the cell vectors:
1 Li 0.000 0.000 0.000
2 Mg 0.000 0.500 0.500
3 Mg 0.500 0.000 0.500
4 Zn 0.500 0.500 0.500
5 Pt 0.500 0.500 0.000

Values from the calculation:
ΔH_f (0 K) = 0.15 eV per atom
crystal system = tetragonal

***

Be3CuH: optimized geometry, PBEsol.

Cell: 3.337 3.337 3.337 Å, 90.00 90.00 90.00°
Sites, in units of the cell vectors:
1 Be 0.000 0.000 0.500
2 Be 0.000 0.500 0.000
3 Be 0.500 0.000 0.000
4 Cu 0.500 0.500 0.500
5 H 0.000 0.000 0.000

Values from the calculation:
crystal system = cubic
total DFT energy (no corrections) = -3.7945 eV per atom

***

KYTl2: optimized geometry, PBEsol.

Cell: 3.765 3.765 8.527 Å, 90.00 90.00 90.00°
Sites, in units of the cell vectors:
1 K 0.000 0.000 0.000
2 Y 0.000 0.000 0.500
3 Tl 0.500 0.500 0.291
4 Tl 0.500 0.500 0.709

Values from the calculation:
ΔH_f (0 K) = -0.25 eV per atom
energy above the most stable polymorph in this dataset = 0 meV/atom
crystal system = tetragonal

***

Sc3C: optimized geometry, PBEsol.

Cell: 5.455 5.455 5.455 Å, 147.26 70.21 119.83°
Sites, in units of the cell vectors:
1 Sc 0.000 0.000 0.000
2 Sc 0.371 0.538 0.833
3 Sc 0.705 0.538 0.167
4 C 0.705 0.205 0.500

Values from the calculation:
ΔH_f (0 K) = -0.11 eV per atom
energy above the most stable polymorph in this dataset = 180 meV/atom
crystal system = orthorhombic

***

MgScBeOs2: optimized geometry, PBEsol.

Cell: 4.186 4.186 4.412 Å, 90.00 90.00 90.00°
Sites, in units of the cell vectors:
1 Mg 0.000 0.000 0.000
2 Sc 0.500 0.500 0.000
3 Be 0.500 0.500 0.500
4 Os 0.000 0.500 0.500
5 Os 0.500 0.000 0.500

Values from the calculation:
ΔH_f (0 K) = 0.37 eV per atom
crystal system = tetragonal

***

Ba7Li3Ru4O20: optimized geometry, PBEsol.

Cell: 5.743 5.743 16.844 Å, 99.32 99.32 59.84°
Sites, in units of the cell vectors:
1 Ba 0.000 0.000 0.000
2 Ba 0.190 0.191 0.577
3 Ba 0.266 0.266 0.864
4 Ba 0.438 0.439 0.284
5 Ba 0.561 0.562 0.716
6 Ba 0.734 0.734 0.136
7 Ba 0.809 0.810 0.423
8 Li 0.335 0.334 0.070
9 Li 0.499 0.501 0.500
10 Li 0.666 0.665 0.930
11 Ru 0.082 0.082 0.204
12 Ru 0.125 0.126 0.370
13 Ru 0.874 0.875 0.630
14 Ru 0.918 0.918 0.796
15 O 0.001 0.500 0.000
16 O 0.045 0.598 0.710
17 O 0.047 0.048 0.717
18 O 0.181 0.701 0.574
19 O 0.230 0.230 0.153
20 O 0.234 0.747 0.143
21 O 0.253 0.766 0.857
22 O 0.299 0.819 0.426
23 O 0.300 0.301 0.431
24 O 0.402 0.955 0.290
25 O 0.500 0.999 0.000
26 O 0.597 0.046 0.710
27 O 0.699 0.700 0.569
28 O 0.700 0.182 0.574
29 O 0.747 0.234 0.143
30 O 0.766 0.253 0.857
31 O 0.770 0.770 0.847
32 O 0.818 0.300 0.426
33 O 0.952 0.953 0.283
34 O 0.954 0.403 0.290

Values from the calculation:
formation energy from raw total energies = -1.92 eV/atom
crystal system = monoclinic

***

FeIrW2: optimized geometry, PBEsol.

Cell: 4.678 4.678 2.705 Å, 90.00 90.00 109.40°
Sites, in units of the cell vectors:
1 Fe 0.000 0.000 0.000
2 Ir 0.500 0.500 0.000
3 W 0.000 0.500 0.500
4 W 0.500 0.000 0.500

Values from the calculation:
ΔH_f (0 K) = -0.04 eV per atom
energy above the most stable polymorph in this dataset = 0 meV/atom
crystal system = orthorhombic

***

CrNiAg2F7: optimized geometry, PBEsol.

Cell: 7.317 7.317 7.317 Å, 120.38 91.25 118.20°
Sites, in units of the cell vectors:
1 Cr 0.500 0.000 0.000
2 Cr 0.500 0.500 0.500
3 Ni 0.000 0.000 0.000
4 Ni 0.500 0.000 0.500
5 Ag 0.000 0.000 0.500
6 Ag 0.000 0.500 0.000
7 Ag 0.000 0.500 0.500
8 Ag 0.500 0.500 0.000
9 F 0.130 0.227 0.903
10 F 0.176 0.773 0.403
11 F 0.196 0.276 0.320
12 F 0.196 0.876 0.920
13 F 0.415 0.665 0.750
14 F 0.456 0.276 0.580
15 F 0.456 0.876 0.180
16 F 0.544 0.124 0.820
17 F 0.544 0.724 0.420
18 F 0.585 0.335 0.250
19 F 0.804 0.124 0.080
20 F 0.804 0.724 0.680
21 F 0.824 0.227 0.597
22 F 0.870 0.773 0.097

Values from the calculation:
formation energy from raw total energies = -1.71 eV/atom
crystal system = orthorhombic

***

So what do the calculations give for volume? Going down the list: 64.3; 592.3; 109.1; 37.1; 120.9; 75.0; 77.3; 471.8; 55.9; 279.8 Å³ per cell.